8
Lattice="6.895 0.000 0.000 0.000 4.049 0.000 -2.281 0.000 5.132" Properties=species:S:1:pos:R:3 comment="GGA-PBE SnAsHOs, optimized geometry" total_energy_ev_per_atom=-5.64 space_group=Cm pbc="T T T"
Sn 0.000 0.000 0.000
Sn 3.447 2.024 0.000
As -0.022 0.000 2.732
As 3.425 2.024 2.732
H 2.309 0.000 1.948
H 5.757 2.024 1.948
Os -1.155 2.024 3.568
Os 2.293 0.000 3.568